[1]
Here is crystalline YPa2N3 at its relaxed geometry from the Alexandria database. Energies are from PBE-GGA.

Cell and atoms, written as POSCAR:
```
YPa2N3
1.0
3.338 0.000 -1.010
-0.612 4.468 -2.023
0.009 0.006 6.050
Y Pa N
1 2 3
direct
0.500 0.500 0.500
0.834 0.834 0.169
0.166 0.166 0.831
0.829 0.329 0.158
0.171 0.671 0.842
0.500 0.000 0.500
```

Computed properties:
V in Å³/cell: 90.3
Space group: Immm

---

[2]
Here is crystalline YPa4N5 at its relaxed geometry from the Alexandria database. Energies are from PBE-GGA.

Cell and atoms, written as POSCAR:
```
YPa4N5
1.0
-1.670 2.066 4.165
-0.428 -3.837 4.661
4.349 2.247 3.559
Y Pa N
1 4 5
direct
0.001 0.000 0.000
0.400 0.400 0.802
0.800 0.802 0.600
0.202 0.198 0.400
0.602 0.600 0.198
0.900 0.401 0.801
0.301 0.801 0.599
0.701 0.199 0.401
0.102 0.599 0.199
0.501 0.000 0.000
```

Computed properties:
V in Å³/cell: 150.8
Space group: I4/m

---

[3]
Here is crystalline Y3Pa5N12 at its relaxed geometry from the Alexandria database. Energies are from PBE-GGA.

Cell and atoms, written as POSCAR:
```
Y3Pa5N12
1.0
12.052 0.000 0.000
-4.017 11.363 0.000
-4.017 -5.681 9.840
Y Pa N
12 20 48
direct
0.750 0.375 0.125
0.875 0.750 0.125
0.375 0.750 0.625
0.250 0.125 0.375
0.875 0.125 0.250
0.375 0.625 0.250
0.625 0.375 0.750
0.125 0.875 0.750
0.750 0.875 0.625
0.625 0.250 0.375
0.125 0.250 0.875
0.250 0.625 0.875
0.125 0.375 0.250
0.000 0.500 0.000
0.000 0.000 0.000
0.375 0.250 0.125
0.500 0.000 0.500
0.500 0.500 0.000
0.125 0.750 0.375
0.750 0.125 0.875
0.750 0.625 0.375
0.375 0.125 0.750
0.625 0.875 0.250
0.500 0.500 0.500
0.500 0.000 0.000
0.000 0.000 0.500
0.250 0.375 0.625
0.250 0.875 0.125
0.000 0.500 0.500
0.875 0.250 0.625
0.625 0.750 0.875
0.875 0.625 0.750
0.701 0.139 0.030
0.329 0.530 0.392
0.970 0.361 0.299
0.530 0.201 0.139
0.563 0.701 0.671
0.970 0.608 0.171
0.329 0.799 0.437
0.108 0.937 0.139
0.608 0.970 0.671
0.701 0.563 0.171
0.799 0.470 0.361
0.829 0.892 0.030
0.139 0.701 0.530
0.361 0.392 0.063
0.063 0.892 0.361
0.437 0.139 0.608
0.063 0.171 0.201
0.470 0.671 0.108
0.829 0.937 0.299
0.139 0.437 0.108
0.361 0.970 0.799
0.608 0.639 0.437
0.892 0.829 0.530
0.799 0.329 0.937
0.392 0.361 0.563
0.108 0.171 0.470
0.201 0.671 0.063
0.171 0.063 0.701
0.639 0.030 0.201
0.861 0.563 0.892
0.530 0.329 0.892
0.563 0.861 0.392
0.937 0.829 0.799
0.937 0.108 0.639
0.861 0.299 0.470
0.171 0.108 0.970
0.639 0.608 0.937
0.392 0.030 0.329
0.299 0.437 0.829
0.201 0.530 0.639
0.892 0.063 0.861
0.671 0.201 0.563
0.470 0.799 0.861
0.030 0.392 0.829
0.437 0.299 0.329
0.030 0.639 0.701
0.671 0.470 0.608
0.299 0.861 0.970
```

Computed properties:
V in Å³/cell: 1347.5
Space group: Ia-3d

---

no.,energy (eV per atom),uncorrected formation energy (eV per atom)
1,-10.044,-1.64
2,-10.247,-1.64
3,-9.595,-1.26